Cs2VI6F: relaxed, PBE+U.

volume = 767.8 Å³ per cell
electronic total energy = -55.5 eV/cell
spin magnetization = 0.00 μB/f.u.

CIF file:
```
data_Cs2VI6F
_chemical_formula_sum 'Cs4 V2 I12 F2'
_cell_length_a 8.110
_cell_length_b 8.110
_cell_length_c 11.673
_cell_angle_alpha 90.00
_cell_angle_beta 90.00
_cell_angle_gamma 90.00
_symmetry_space_group_name_H-M 'I 4/m m m'
_symmetry_Int_Tables_number 139
_symmetry_space_group_name_Hall '-I 4 2'
loop_
_atom_site_label
_atom_site_fract_x
_atom_site_fract_y
_atom_site_fract_z
Cs1 0.000 0.500 0.250
V1 0.000 0.000 0.000
I1 0.000 0.000 0.235
I2 0.239 0.239 0.000
F1 0.000 0.000 0.500
```